[1]
PdPbI4 | PBE | relaxed

Calculated values
* crystal system: tetragonal
* raw formation energy: -0.3417 eV/atom

a = 6.8655 Å, b = 6.8655 Å, c = 6.8655 Å
α = 111.19°, β = 111.19°, γ = 106.08°
With the nearest neighbours (Å) after each atom.
Sites, in units of the cell vectors:
Pd: 0.0000 0.0000 0.0000  4 I 2.64
Pb: 0.7500 0.2500 0.5000  4 I 3.25
I: 0.2231 0.3051 0.4724  1 Pd 2.64
I: 0.2492 0.7769 0.0819  1 Pd 2.64
I: 0.6949 0.1673 0.9181  1 Pd 2.64
I: 0.8327 0.7508 0.5276  1 Pd 2.64



[2]
Sm4Ni3Pt | PBE | relaxed

Calculated values
* calculated formation energy: -576 meV/atom
* crystal system: orthorhombic

a = 3.8199 Å, b = 4.3842 Å, c = 10.4614 Å
α = 90.00°, β = 90.00°, γ = 90.00°
With the nearest neighbours (Å) after each atom.
Sites, in units of the cell vectors:
Sm: 0.0000 0.0000 0.0000  6 Ni 2.87-2.98, 1 Pt 3.01
Sm: 0.0000 0.5000 0.2711  7 Ni 2.89-2.99
Sm: 0.5000 0.0000 0.4901  5 Ni 2.98, 2 Pt 3.01
Sm: 0.5000 0.5000 0.7743  4 Pt 2.98, 3 Ni 3.01-3.03
Ni: 0.0000 0.5000 0.5514  2 Pt 2.76, 7 Sm 2.93-3.01
Ni: 0.5000 0.0000 0.2048  2 Ni 2.64, 2 Sm 2.87
Ni: 0.5000 0.5000 0.0639  2 Ni 2.64, 2 Sm 2.89
Pt: 0.0000 0.0000 0.7122  2 Ni 2.76, 7 Sm 2.98-3.01



no.,VASP energy (eV per atom)
1,-2.859
2,-5.859